(1)
A plane-wave DFT calculation with PBE was carried out for a relaxed structure of CaY2Zr.

a = 12.017 Å, b = 12.017 Å, c = 12.017 Å
α = 157.36°, β = 157.36°, γ = 32.23°
Atoms (fractional coordinates):
Ca: 0.000 0.000 0.000
Ca: 0.750 0.250 0.500
Y: 0.141 0.625 0.016
Y: 0.375 0.391 0.516
Y: 0.609 0.125 0.984
Y: 0.875 0.859 0.484
Zr: 0.250 0.750 0.500
Zr: 0.500 0.500 0.000

Properties
* space group: No. 122
* formation energy from the elements: 0.644 eV per atom
* crystal system: tetragonal

---

(2)
A plane-wave DFT calculation with PBE was carried out for a relaxed structure of Ca2YZr.

a = 12.273 Å, b = 12.273 Å, c = 12.273 Å
α = 16.35°, β = 16.35°, γ = 16.35°
Atoms (fractional coordinates):
Ca: 0.244 0.244 0.244
Ca: 0.756 0.756 0.756
Y: 0.000 0.000 0.000
Zr: 0.500 0.500 0.500

Properties
* space group: No. 166
* formation energy from the elements: 0.291 eV per atom
* crystal system: trigonal

---

(3)
A plane-wave DFT calculation with PBE was carried out for a relaxed structure of Ca2YZr.

a = 3.408 Å, b = 5.981 Å, c = 6.341 Å
α = 90.00°, β = 96.54°, γ = 90.00°
Atoms (fractional coordinates):
Ca: 0.241 0.000 0.258
Ca: 0.759 0.000 0.742
Y: 0.500 0.500 0.000
Zr: 0.000 0.500 0.500

Properties
* space group: No. 10
* formation energy from the elements: 0.319 eV per atom
* crystal system: monoclinic

---

(4)
A plane-wave DFT calculation with PBE was carried out for a relaxed structure of CaY2Zr.

a = 5.952 Å, b = 5.952 Å, c = 5.952 Å
α = 129.80°, β = 129.80°, γ = 73.73°
Atoms (fractional coordinates):
Ca: 0.000 0.000 0.000
Y: 0.250 0.750 0.500
Y: 0.750 0.250 0.500
Zr: 0.500 0.500 0.000

Properties
* space group: No. 139
* formation energy from the elements: 0.232 eV per atom
* crystal system: tetragonal

---

(5)
A plane-wave DFT calculation with PBE was carried out for a relaxed structure of CaY2Zr.

a = 6.072 Å, b = 6.072 Å, c = 3.468 Å
α = 90.00°, β = 90.00°, γ = 108.59°
Atoms (fractional coordinates):
Ca: 0.000 0.000 0.000
Y: 0.000 0.500 0.500
Y: 0.500 0.000 0.500
Zr: 0.500 0.500 0.000

Properties
* space group: No. 65
* formation energy from the elements: 0.225 eV per atom
* crystal system: orthorhombic

---

(6)
A plane-wave DFT calculation with PBE was carried out for a relaxed structure of CaY2Zr.

a = 5.950 Å, b = 5.950 Å, c = 6.332 Å
α = 99.23°, β = 99.23°, γ = 33.75°
Atoms (fractional coordinates):
Ca: 0.000 0.000 0.000
Y: 0.241 0.241 0.727
Y: 0.759 0.759 0.273
Zr: 0.500 0.500 0.500

Properties
* space group: No. 12
* formation energy from the elements: 0.197 eV per atom
* crystal system: monoclinic

---

(7)
A plane-wave DFT calculation with PBE was carried out for a relaxed structure of Ca2YZr.

a = 6.411 Å, b = 6.411 Å, c = 3.415 Å
α = 90.00°, β = 90.00°, γ = 115.23°
Atoms (fractional coordinates):
Ca: 0.000 0.500 0.000
Ca: 0.500 0.000 0.000
Y: 0.000 0.000 0.500
Zr: 0.500 0.500 0.500

Properties
* space group: No. 65
* formation energy from the elements: 0.357 eV per atom
* crystal system: orthorhombic

---

(8)
A plane-wave DFT calculation with PBE was carried out for a relaxed structure of Ca2YZr.

a = 6.073 Å, b = 6.073 Å, c = 6.432 Å
α = 100.11°, β = 100.11°, γ = 33.54°
Atoms (fractional coordinates):
Ca: 0.000 0.000 0.000
Ca: 0.240 0.240 0.745
Y: 0.762 0.762 0.288
Zr: 0.494 0.494 0.472

Properties
* space group: No. 8
* formation energy from the elements: 0.273 eV per atom
* crystal system: monoclinic

---

Question: The highest formation energy from the elements belongs to which entry?
Answer: number 1

---

Repeat the fourth record exactly.
A plane-wave DFT calculation with PBE was carried out for a relaxed structure of CaY2Zr.

a = 5.952 Å, b = 5.952 Å, c = 5.952 Å
α = 129.80°, β = 129.80°, γ = 73.73°
Atoms (fractional coordinates):
Ca: 0.000 0.000 0.000
Y: 0.250 0.750 0.500
Y: 0.750 0.250 0.500
Zr: 0.500 0.500 0.000

Properties
* space group: No. 139
* formation energy from the elements: 0.232 eV per atom
* crystal system: tetragonal